i:
DFT (PBE-GGA) results for a relaxed structure of PmNd3Bi2.

Geometry as extended XYZ:
```
6
Lattice="4.6637 0.0000 0.0000 0.0000 4.6637 0.0000 0.0000 0.0000 9.0172" Properties=species:S:1:pos:R:3 pbc="T T T"
Pm 0.0000 0.0000 0.0000
Nd 0.0000 2.3318 3.1864
Nd 2.3318 0.0000 5.8308
Nd 2.3318 2.3318 0.0000
Bi 0.0000 2.3318 6.4901
Bi 2.3318 0.0000 2.5271
```

Values from the calculation:
space-group type	P-4m2



ii:
DFT (PBE-GGA) results for a relaxed structure of PmNd3Bi2.

Geometry as extended XYZ:
```
12
Lattice="-3.6330 7.5630 3.9970 3.6330 -7.5630 3.9970 3.6330 7.5630 -3.9970" Properties=species:S:1:pos:R:3 pbc="T T T"
Pm 0.0000 0.0000 0.0000
Pm 0.0000 0.0000 3.9970
Nd 3.6330 4.5163 -1.9985
Nd 3.6330 0.0000 1.9985
Nd 0.0000 3.0466 1.9985
Nd 3.6330 4.5163 1.9985
Nd 0.0000 7.5630 1.9985
Nd 0.0000 3.0466 5.9955
Bi 4.8230 2.2450 0.0000
Bi 1.1900 5.3179 0.0000
Bi 2.4430 2.2450 3.9970
Bi -1.1900 5.3179 3.9970
```

Values from the calculation:
space-group type	Ibam



It is ii that is the least stable of them.